Entry from the Alexandria database: a geometry-optimized Sr2YIn structure (GGA-PBE).

Summary:
Volume (Å³ per atom): 36.35
Space-group type: No. 10
Formation energy from the elements (kJ/mol of formula units): -18
ρ (Mg/m³): 4.328

Lattice parameters (Å, degrees): 5.263 3.800 8.191 62.56 90.00 90.00
Sites, in units of the cell vectors:
1 Sr 0.000 0.486 0.515
2 Y 0.500 0.250 0.250
3 In 0.500 0.750 0.750
4 Sr 0.000 0.014 0.985